Entry 1:
# NaNi2SnRu

A relaxed NaNi2SnRu crystal (PBE, Alexandria).

The density of states at the Fermi level comes out at 7.43 states/eV per cell. The value obtained for the formation energy is 1.443 eV/atom.

The structure in POSCAR format:
```
NaNi2SnRu
1.0
4.6497 0.0000 0.0000
0.0000 4.6497 0.0000
0.0000 0.0000 5.0250
Na Ni Sn Ru
1 2 1 1
Direct
0.0000 0.0000 0.0000
0.0000 0.5000 0.5000
0.5000 0.0000 0.5000
0.0000 0.0000 0.5000
0.5000 0.5000 0.0000
```

=====

Entry 2:
# NaNiRu2W

A relaxed NaNiRu2W crystal (PBE, Alexandria).

The density of states at the Fermi level comes out at 6.66 states/eV per cell. The value obtained for the formation energy is 1.548 eV/atom.

The structure in POSCAR format:
```
NaNiRu2W
1.0
4.5756 0.0000 0.0000
0.0000 4.5756 0.0000
0.0000 0.0000 4.4372
Na Ni Ru W
1 1 2 1
Direct
0.0000 0.0000 0.0000
0.5000 0.5000 0.5000
0.0000 0.5000 0.5000
0.5000 0.0000 0.5000
0.5000 0.5000 0.0000
```

=====

Entry 3:
# NaNiS3

A relaxed NaNiS3 crystal (PBE, Alexandria).

The calculation puts the formation energy without anion corrections at 1348 meV/atom. The density of states at the Fermi level comes out at 11.17 states/eV per cell.

The structure in POSCAR format:
```
NaNiS3
1.0
4.7665 0.0000 0.0000
0.0000 4.7665 0.0000
0.0000 0.0000 4.7665
Na Ni S
1 1 3
Direct
0.0000 0.0000 0.0000
0.5000 0.5000 0.5000
0.0000 0.0000 0.5000
0.0000 0.5000 0.0000
0.5000 0.0000 0.0000
```

=====

Entry 4:
# NaNi6S8

A relaxed NaNi6S8 crystal (PBE, Alexandria).

The calculation puts the formation energy without anion corrections at -396 meV/atom. The density of states at the Fermi level comes out at 11.49 states/eV per cell.

The structure in POSCAR format:
```
NaNi6S8
1.0
4.4899 2.5923 3.5714
-4.4899 2.5923 3.5714
0.0000 -5.1845 3.5714
Na Ni S
1 6 8
Direct
0.0000 0.0000 0.0000
0.1911 0.4076 0.5622
0.4076 0.5622 0.1911
0.4378 0.8089 0.5924
0.5622 0.1911 0.4076
0.5924 0.4378 0.8089
0.8089 0.5924 0.4378
0.1551 0.7189 0.3815
0.2525 0.2525 0.2525
0.2811 0.6185 0.8449
0.3815 0.1551 0.7189
0.6185 0.8449 0.2811
0.7189 0.3815 0.1551
0.7475 0.7475 0.7475
0.8449 0.2811 0.6185
```

=====

Entry 5:
# Na2Ni2S3

A relaxed Na2Ni2S3 crystal (PBE, Alexandria).

The calculation puts the formation energy without anion corrections at -626 meV/atom. The density of states at the Fermi level comes out at 9.12 states/eV per cell.

The structure in POSCAR format:
```
Na2Ni2S3
1.0
6.3530 0.0000 0.0000
0.0000 6.8729 0.0000
-2.7307 0.0000 6.0549
Na Ni S
4 4 6
Direct
0.1923 0.1540 0.4166
0.1923 0.3460 0.9166
0.8077 0.6540 0.0834
0.8077 0.8460 0.5834
0.3592 0.5912 0.5660
0.3592 0.9088 0.0660
0.6408 0.0912 0.9340
0.6408 0.4088 0.4340
0.0000 0.0000 0.0000
0.0000 0.5000 0.5000
0.3866 0.6344 0.2486
0.3866 0.8656 0.7486
0.6135 0.1344 0.2514
0.6135 0.3656 0.7514
```

=====

Entry 6:
# Na2Ni2S3

A relaxed Na2Ni2S3 crystal (PBE, Alexandria).

The calculation puts the formation energy without anion corrections at -617 meV/atom. The density of states at the Fermi level comes out at 11.42 states/eV per cell.

The structure in POSCAR format:
```
Na2Ni2S3
1.0
7.5250 -1.8803 0.0000
7.5250 1.8803 0.0000
-6.3234 0.0000 8.8793
Na Ni S
4 4 6
Direct
0.1078 0.1078 0.4710
0.2285 0.2285 0.8361
0.7715 0.7715 0.1639
0.8922 0.8922 0.5290
0.0797 0.0797 0.1494
0.4621 0.4621 0.1760
0.5379 0.5379 0.8240
0.9203 0.9203 0.8506
0.0979 0.0979 0.9584
0.3523 0.3523 0.7186
0.4299 0.4299 0.3484
0.5701 0.5701 0.6516
0.6477 0.6477 0.2814
0.9021 0.9021 0.0416
```

=====

Entry 7:
# NaNi3S2

A relaxed NaNi3S2 crystal (PBE, Alexandria).

The calculation puts the formation energy without anion corrections at -451 meV/atom. The density of states at the Fermi level comes out at 9.93 states/eV per cell.

The structure in POSCAR format:
```
NaNi3S2
1.0
6.9212 -1.8224 0.0000
6.9212 1.8224 0.0000
-3.5011 0.0000 7.1548
Na Ni S
2 6 4
Direct
0.1398 0.1398 0.0568
0.8602 0.8602 0.9432
0.0539 0.0539 0.3954
0.3161 0.3161 0.5882
0.4017 0.4017 0.3549
0.5983 0.5983 0.6451
0.6839 0.6839 0.4118
0.9461 0.9461 0.6046
0.1972 0.1972 0.6929
0.4892 0.4892 0.7819
0.5108 0.5108 0.2181
0.8028 0.8028 0.3071
```

=====

Entry 8:
# NaNi3S

A relaxed NaNi3S crystal (PBE, Alexandria).

The calculation puts the formation energy without anion corrections at 1710 meV/atom. The density of states at the Fermi level comes out at 10.16 states/eV per cell.

The structure in POSCAR format:
```
NaNi3S
1.0
4.3948 0.0000 0.0000
0.0000 4.3948 0.0000
0.0000 0.0000 4.3948
Na Ni S
1 3 1
Direct
0.0000 0.0000 0.0000
0.0000 0.0000 0.5000
0.0000 0.5000 0.0000
0.5000 0.0000 0.0000
0.5000 0.5000 0.5000
```

=====

Entry 9:
# NaNi3S

A relaxed NaNi3S crystal (PBE, Alexandria).

The calculation puts the formation energy without anion corrections at -22 meV/atom. The density of states at the Fermi level comes out at 3.63 states/eV per cell.

The structure in POSCAR format:
```
NaNi3S
1.0
4.2099 0.0000 0.0000
0.0000 4.2099 0.0000
0.0000 0.0000 4.2099
Na Ni S
1 3 1
Direct
0.0000 0.0000 0.0000
0.0000 0.5000 0.5000
0.5000 0.0000 0.5000
0.5000 0.5000 0.0000
0.5000 0.5000 0.5000
```

=====

Entry 10:
# Na2Ni3S4

A relaxed Na2Ni3S4 crystal (PBE, Alexandria).

The calculation puts the formation energy without anion corrections at -617 meV/atom.

The structure in POSCAR format:
```
Na2Ni3S4
1.0
0.0000 5.0520 5.8780
2.7844 0.0000 5.8780
2.7844 5.0520 0.0000
Na Ni S
2 3 4
Direct
0.1500 0.1500 0.8500
0.8500 0.8500 0.1500
0.0000 0.0000 0.5000
0.5000 0.5000 0.0000
0.5000 0.5000 0.5000
0.2143 0.5365 0.4635
0.4635 0.7857 0.2143
0.5365 0.2143 0.7857
0.7857 0.4635 0.5365
```

=====

Entry 11:
# NaNiS3

A relaxed NaNiS3 crystal (PBE, Alexandria).

The calculation puts the formation energy without anion corrections at -20 meV/atom. The density of states at the Fermi level comes out at 5.75 states/eV per cell.

The structure in POSCAR format:
```
NaNiS3
1.0
4.5139 0.0000 0.0000
0.0000 4.5139 0.0000
0.0000 0.0000 4.5139
Na Ni S
1 1 3
Direct
0.0000 0.0000 0.0000
0.5000 0.5000 0.5000
0.0000 0.5000 0.5000
0.5000 0.0000 0.5000
0.5000 0.5000 0.0000
```

=====

Entry 12:
# NaNiSnS3

A relaxed NaNiSnS3 crystal (PBE, Alexandria).

The calculation puts the formation energy without anion corrections at -552 meV/atom. The density of states at the Fermi level comes out at 6.13 states/eV per cell.

The structure in POSCAR format:
```
NaNiSnS3
1.0
8.0919 0.0000 0.0000
0.0000 3.8887 0.0000
-1.6917 0.0000 8.3054
Na Ni Sn S
2 2 2 6
Direct
0.1708 0.2500 0.2179
0.8292 0.7500 0.7821
0.0803 0.2500 0.5680
0.9197 0.7500 0.4320
0.3351 0.7500 0.8501
0.6649 0.2500 0.1499
0.1137 0.2500 0.8477
0.1994 0.7500 0.5381
0.4306 0.7500 0.1613
0.5694 0.2500 0.8387
0.8006 0.2500 0.4619
0.8863 0.7500 0.1523
```